[1]
This record from the Alexandria database describes a relaxed structure of HRu3W. The functional is PBE.

Cell lengths 5.5554, 5.5929, 4.4149 Å; angles 90.33, 90.00, 60.20 degrees
Positions (direct):
H1 0.4580 0.6217 0.4508
H2 0.9581 0.6217 0.9505
Ru1 0.6271 0.2839 0.1970
Ru2 0.1228 0.7934 0.2017
Ru3 0.6214 0.7933 0.2017
Ru4 0.2889 0.9594 0.7041
Ru5 0.2946 0.4499 0.6993
Ru6 0.7932 0.4498 0.6994
W1 0.7833 0.9702 0.6906
W2 0.1327 0.2731 0.2104

Total energy, eV/atom: -8.91
Relative energy among the computed polymorphs, meV/atom: 11.8
SG: C2/m

[2]
This record from the Alexandria database describes a relaxed structure of HRu3W. The functional is PBE.

Cell lengths 5.0078, 6.9781, 7.3404 Å; angles 90.00, 90.00, 90.00 degrees
Positions (direct):
Ru1 0.5367 0.9188 0.6547
Ru2 0.2955 0.2500 0.6997
Ru3 0.9633 0.0812 0.1547
Ru4 0.4633 0.0812 0.3453
Ru5 0.5367 0.5812 0.6547
Ru6 0.7955 0.2500 0.8003
Ru7 0.0367 0.5812 0.8453
Ru8 0.9633 0.4188 0.1547
Ru9 0.0367 0.9188 0.8453
Ru10 0.4633 0.4188 0.3453
Ru11 0.2045 0.7500 0.1997
Ru12 0.7045 0.7500 0.3003
H1 0.3011 0.2500 0.9458
H2 0.6989 0.7500 0.0542
H3 0.8011 0.2500 0.5542
H4 0.1989 0.7500 0.4458
W1 0.5000 0.0000 0.0000
W2 0.0000 0.0000 0.5000
W3 0.5000 0.5000 0.0000
W4 0.0000 0.5000 0.5000

Total energy, eV/atom: -8.44
Relative energy among the computed polymorphs, meV/atom: 475.5
SG: Pnma

[3]
This record from the Alexandria database describes a relaxed structure of HRuW3. The functional is PBE.

Cell lengths 4.7076, 4.7076, 4.7076 Å; angles 90.00, 90.00, 90.00 degrees
Positions (direct):
Ru1 0.0000 0.0000 0.0000
W1 0.0000 0.5000 0.0000
W2 0.5000 0.0000 0.0000
W3 0.0000 0.0000 0.5000
H1 0.5000 0.5000 0.5000

Total energy, eV/atom: -7.66
Relative energy among the computed polymorphs, meV/atom: 2415.0
SG: Pm-3m

[4]
This record from the Alexandria database describes a relaxed structure of H3RuW. The functional is PBE.

Cell lengths 3.4696, 3.4696, 3.4696 Å; angles 90.00, 90.00, 90.00 degrees
Each line ends with the local moment (μB).
Positions (direct):
Ru1 0.5000 0.5000 0.5000  1.13
H1 0.5000 0.0000 0.0000  0.00
H2 0.0000 0.5000 0.0000  0.00
H3 0.0000 0.0000 0.5000  0.00
W1 0.0000 0.0000 0.0000  0.08

Total energy, eV/atom: -5.79
Relative energy among the computed polymorphs, meV/atom: 159.1
SG: Pm-3m

[5]
This record from the Alexandria database describes a relaxed structure of HRu3W. The functional is PBE.

Cell lengths 4.7247, 4.7247, 4.7247 Å; angles 90.00, 90.00, 90.00 degrees
Each line ends with the local moment (μB).
Positions (direct):
Ru1 0.0000 0.0000 0.5000  1.30
Ru2 0.5000 0.0000 0.0000  0.85
Ru3 0.0000 0.5000 0.0000  1.18
W1 0.0000 0.0000 0.0000  -0.24
H1 0.5000 0.5000 0.5000  0.20

Total energy, eV/atom: -6.58
Relative energy among the computed polymorphs, meV/atom: 2336.4
SG: Pm-3m

[6]
This record from the Alexandria database describes a relaxed structure of HRu3W. The functional is PBE.

Cell lengths 2.8555, 2.8555, 17.5230 Å; angles 90.00, 90.00, 120.00 degrees
Positions (direct):
Ru1 0.0000 0.0000 0.7500
Ru2 0.6667 0.3333 0.1234
Ru3 0.0000 0.0000 0.2500
Ru4 0.3333 0.6667 0.8766
Ru5 0.3333 0.6667 0.6234
Ru6 0.6667 0.3333 0.3766
H1 0.6667 0.3333 0.2500
H2 0.3333 0.6667 0.7500
W1 0.0000 0.0000 0.0000
W2 0.0000 0.0000 0.5000

Total energy, eV/atom: -8.61
Relative energy among the computed polymorphs, meV/atom: 309.7
SG: P6_3/mmc

[7]
This record from the Alexandria database describes a relaxed structure of HRu3W. The functional is PBE.

Cell lengths 4.5755, 4.5755, 9.4566 Å; angles 76.00, 76.00, 90.00 degrees
Positions (direct):
H1 0.6496 0.1496 0.7008
H2 0.8504 0.3504 0.2992
Ru1 0.1216 0.3680 0.7568
Ru2 0.3239 0.3239 0.3522
Ru3 0.1248 0.8784 0.2432
Ru4 0.6320 0.8784 0.2432
Ru5 0.6761 0.6761 0.6478
Ru6 0.1216 0.8752 0.7568
W1 0.0000 0.0000 0.0000
W2 0.2500 0.7500 0.5000

Total energy, eV/atom: -7.26
Relative energy among the computed polymorphs, meV/atom: 1659.4
SG: I-4m2

[8]
This record from the Alexandria database describes a relaxed structure of HRu3W. The functional is PBE.

Cell lengths 4.3192, 4.3192, 7.9010 Å; angles 90.00, 90.00, 120.00 degrees
Positions (direct):
H1 0.0000 0.0000 0.0000
H2 0.0000 0.0000 0.5000
W1 0.6667 0.3333 0.2500
W2 0.3333 0.6667 0.7500
Ru1 0.6667 0.3333 0.9196
Ru2 0.3333 0.6667 0.0804
Ru3 0.0000 0.0000 0.2500
Ru4 0.0000 0.0000 0.7500
Ru5 0.6667 0.3333 0.5804
Ru6 0.3333 0.6667 0.4196

Total energy, eV/atom: -8.39
Relative energy among the computed polymorphs, meV/atom: 525.2
SG: P6_3/mmc